# MnZn3Pt4, relaxed, DFT PBE
data_MnZn3Pt4
_cell_length_a 4.053
_cell_length_b 4.053
_cell_length_c 14.306
_cell_angle_alpha 90.00
_cell_angle_beta 90.00
_cell_angle_gamma 90.00
_symmetry_space_group_name_H-M 'I 4/m m m'
_symmetry_Int_Tables_number 139
_symmetry_space_group_name_Hall '-I 4 2'
loop_
_atom_site_label
_atom_site_fract_x
_atom_site_fract_y
_atom_site_fract_z
Mn1 0.000 0.000 0.000
Zn1 0.000 0.000 0.251
Zn2 0.000 0.000 0.500
Pt1 0.000 0.500 0.125
# **Raw total energy**: -5.187 eV per atom